# Y2MnAl2

Crystalline Y2MnAl2 at its relaxed geometry (PBE, Alexandria).

Lattice parameters (Å, degrees): 6.8936 6.8936 4.5103 90.00 90.00 90.00
Space group P4/mbm (No. 127)
Asymmetric unit:
Y  0.1752  0.3248  0.0000 x4
Mn  0.0000  0.0000  0.5000 x2
Al  0.1374  0.6374  0.5000 x4

Values from the calculation:
Uncorrected energy (eV per atom): -5.9052
N(E_F) (states/eV/f.u.): 7.781